## BaIn2Au (PBEsol)

Data for an optimized crystal structure of BaIn2Au.

Values from the calculation:
- ΔH_f (0 K) (eV/atom) = -0.469

abc: 4.700 4.700 6.753
angles: 69.63 69.63 60.00
Fractional positions:
Au  0.430  0.430  0.710
Ba  0.246  0.246  0.261
In  0.036  0.036  0.892
In  0.791  0.791  0.628

## BaIn2Au (PBEsol)

Data for an optimized crystal structure of BaIn2Au.

Values from the calculation:
- ΔH_f (0 K) (eV/atom) = -0.275

abc: 4.562 4.562 5.306
angles: 90.00 90.00 90.00
Fractional positions:
Au  0.500  0.500  0.500
Ba  0.000  0.000  0.500
In  0.000  0.500  0.000
In  0.500  0.000  0.000